A.
## Li3DySn3 (GGA-PBE)

Data for crystalline Li3DySn3 at its relaxed geometry.

The structure belongs to space group R-3 (No. 148, hexagonal axes); the cell edges are 8.3242, 8.3242 and 17.4398 Å and the angles 90.00°, 90.00° and 120.00°. The inequivalent atoms are Li at (0.0009, 0.6554, 0.3833), Dy at (0.0000, 0.0000, 0.1656) and Sn at (0.0005, 0.2949, 0.4431).

The density of states at the Fermi level comes out at 0.52 states/eV per atom.


B.
## Li3DySn3 (GGA-PBE)

Data for crystalline Li3DySn3 at its relaxed geometry.

The structure belongs to space group Pm-3n (No. 223); the cell edges are 7.093, 7.093 and 7.093 Å and the angles 90.00°, 90.00° and 90.00°. The inequivalent atoms are Li at (0.000, 0.250, 0.500), Dy at (0.000, 0.000, 0.000) and Sn at (0.000, 0.500, 0.250).

The density of states at the Fermi level comes out at 0.92 states/eV per atom.


Top of the stability list: A, leading by 0.457 eV/atom.


A.
## Li2DySn2 (GGA-PBE)

Data for crystalline Li2DySn2 at its relaxed geometry.

The structure belongs to space group C2/m (No. 12); the cell edges are 7.906, 4.576 and 6.862 Å and the angles 90.00°, 112.48° and 90.00°. The inequivalent atoms are Li at (0.188, 0.000, 0.063), Dy at (0.000, 0.000, 0.500) and Sn at (0.077, 0.500, 0.229).

The density of states at the Fermi level comes out at 0.37 states/eV per atom.


B.
## Li2DySn2 (GGA-PBE)

Data for crystalline Li2DySn2 at its relaxed geometry.

The structure belongs to space group I4/mmm (No. 139); the cell edges are 3.462, 3.462 and 18.053 Å and the angles 90.00°, 90.00° and 90.00°. The inequivalent atoms are Li at (0.000, 0.000, 0.209), Dy at (0.000, 0.000, 0.000) and Sn at (0.000, 0.000, 0.377).

The density of states at the Fermi level comes out at 0.52 states/eV per atom.


Top of the stability list: A, leading by 0.015 eV/atom.


A.
## Li6DySn6 (GGA-PBE)

Data for crystalline Li6DySn6 at its relaxed geometry.

The structure belongs to space group Immm (No. 71); the cell edges are 5.725, 9.424 and 9.966 Å and the angles 90.00°, 90.00° and 90.00°. The inequivalent atoms are Li at (0.000, 0.249, 0.000), Li at (0.250, 0.250, 0.250), Dy at (0.000, 0.000, 0.500), Sn at (0.000, 0.000, 0.167), Sn at (0.000, 0.346, 0.500) and Sn at (0.000, 0.500, 0.162).

The density of states at the Fermi level comes out at 0.39 states/eV per atom.


B.
## Li6DySn6 (GGA-PBE)

Data for crystalline Li6DySn6 at its relaxed geometry.

The structure belongs to space group P6/mmm (No. 191); the cell edges are 5.7988, 5.7988 and 9.3131 Å and the angles 90.00°, 90.00° and 120.00°. The inequivalent atoms are Li at (0.0000, 0.5000, 0.2462), Dy at (0.0000, 0.0000, 0.0000), Sn at (0.0000, 0.0000, 0.3462), Sn at (0.3333, 0.6667, 0.0000) and Sn at (0.3333, 0.6667, 0.5000).

The density of states at the Fermi level comes out at 0.33 states/eV per atom.


Top of the stability list: A, leading by 0.009 eV/atom.